! TaTi2Ge6, optimized geometry, DFT PBE; values from VASP
&SYSTEM
  ibrav = 0, nat = 9, ntyp = 3
/
ATOMIC_SPECIES
Ta 180.95 Ta.upf
Ti 47.87 Ti.upf
Ge 72.64 Ge.upf
ATOMIC_POSITIONS angstrom
Ta -1.828 1.044 1.314
Ti 0.061 -4.920 1.652
Ti -2.055 -2.308 1.319
Ge -3.728 -0.659 0.024
Ge -0.806 -3.018 3.580
Ge -2.948 -0.421 3.305
Ge -0.951 -0.853 -0.646
Ge -2.734 -4.699 2.317
Ge -1.155 -4.227 -0.632
CELL_PARAMETERS angstrom
-3.655 2.089 2.628
-1.024 -3.601 -3.249
0.858 -4.671 4.906
! Formation enthalpy at 0 K, eV/atom: -0.365
! Symmetry: C222

---

! Mg2Tl5In4, optimized geometry, DFT PBE; values from VASP
&SYSTEM
  ibrav = 0, nat = 11, ntyp = 3
/
ATOMIC_SPECIES
Mg 24.30 Mg.upf
Tl 204.38 Tl.upf
In 114.82 In.upf
ATOMIC_POSITIONS angstrom
Mg -4.178 -1.579 1.764
Mg -4.640 -7.105 1.295
Tl -5.290 -0.401 4.419
Tl -3.529 -8.283 -1.360
Tl -7.207 -6.045 2.750
Tl -1.271 0.678 -0.833
Tl -1.612 -2.640 0.310
In -4.405 -4.259 3.254
In -6.995 -3.123 4.806
In -4.413 -4.425 -0.194
In -1.823 -5.561 -1.746
CELL_PARAMETERS angstrom
-2.542 1.356 -1.666
-1.830 -8.445 -4.084
-4.447 -1.596 8.809
! Formation enthalpy at 0 K, eV/atom: 0.033
! Symmetry: C2/m

---

! Zr2BeTe, optimized geometry, DFT PBE; values from VASP
&SYSTEM
  ibrav = 0, nat = 4, ntyp = 3
/
ATOMIC_SPECIES
Be 9.01 Be.upf
Te 127.60 Te.upf
Zr 91.22 Zr.upf
ATOMIC_POSITIONS angstrom
Be 0.610 -2.399 1.387
Te -0.457 -3.614 4.733
Zr -0.071 -0.080 0.222
Zr -0.996 -1.134 3.125
CELL_PARAMETERS angstrom
-0.853 -2.900 -1.325
3.140 -0.684 0.753
-2.134 -2.430 6.692
! Uncorrected formation energy, meV per atom: -120
! Energy relative to the lowest polymorph listed for this composition, eV per atom: 0.3003
! Symmetry: Cmmm

---

! TlAg2RuF8, optimized geometry, DFT PBE; values from VASP
&SYSTEM
  ibrav = 0, nat = 12, ntyp = 4
/
ATOMIC_SPECIES
Tl 204.38 Tl.upf
Ag 107.87 Ag.upf
Ru 101.07 Ru.upf
F 19.00 F.upf
ATOMIC_POSITIONS angstrom
Tl 0.002 0.004 3.809
Ag 2.413 2.716 5.681
Ag 2.411 2.712 1.928
Ru 0.000 0.000 0.000
F 0.707 4.431 1.409
F 3.342 4.168 -0.006
F 4.114 0.991 1.411
F 4.117 0.997 6.200
F 1.481 1.259 7.615
F 0.709 4.436 6.198
F 2.890 4.010 3.803
F 1.934 1.417 3.806
CELL_PARAMETERS angstrom
4.913 -0.084 -0.003
-0.093 5.503 -0.006
0.004 0.009 7.617
! Uncorrected formation energy, meV per atom: -1507
! Symmetry: P2/m

---

! RbSrPuI6, optimized geometry, DFT PBE; values from VASP
&SYSTEM
  ibrav = 0, nat = 18, ntyp = 4
/
ATOMIC_SPECIES
Rb 85.47 Rb.upf
Sr 87.62 Sr.upf
Pu 244.00 Pu.upf
I 126.90 I.upf
ATOMIC_POSITIONS angstrom
Rb 0.000 0.000 0.000
Rb 1.112 -4.050 6.793
Sr 4.949 -3.291 1.923
Sr 2.284 -10.121 7.676
Pu 1.173 -6.071 0.883
Pu 6.060 -7.341 8.716
I 3.376 -4.530 -0.697
I 0.133 -7.272 -1.801
I 8.312 -6.117 6.938
I 7.100 -6.141 11.400
I 2.558 -4.970 3.452
I 2.799 -8.716 1.178
I 7.983 -9.768 9.093
I -1.079 -7.295 2.660
I 4.434 -4.696 8.420
I -0.750 -3.644 0.506
I 4.675 -8.442 6.147
I 3.857 -8.882 10.296
CELL_PARAMETERS angstrom
-3.159 -6.827 -3.554
8.169 1.515 -0.433
2.223 -8.101 13.585
! Uncorrected formation energy, meV per atom: -1377
! Symmetry: P-31c

---

! TbTmSb, optimized geometry, DFT PBE; values from VASP
&SYSTEM
  ibrav = 0, nat = 3, ntyp = 3
/
ATOMIC_SPECIES
Sb 121.76 Sb.upf
Tm 168.93 Tm.upf
Tb 158.93 Tb.upf
ATOMIC_POSITIONS angstrom
Sb 1.165 0.000 2.902
Tm 0.355 0.000 0.000
Tb 2.461 2.514 1.451
CELL_PARAMETERS angstrom
3.981 0.000 0.000
0.000 5.027 0.000
0.000 -2.514 4.354
! Uncorrected formation energy, meV per atom: -417
! Symmetry: P3m1

---

! BaB2Te, optimized geometry, DFT PBE; values from VASP
&SYSTEM
  ibrav = 0, nat = 8, ntyp = 3
/
ATOMIC_SPECIES
B 10.81 B.upf
Te 127.60 Te.upf
Ba 137.33 Ba.upf
ATOMIC_POSITIONS angstrom
B 0.760 -1.397 -5.019
B 4.318 -2.886 -2.892
B 3.764 -4.646 -5.967
B 5.689 -5.553 -9.823
Te 2.891 -1.325 -3.972
Te 5.469 -4.379 -4.336
Ba 0.000 0.000 0.000
Ba 1.796 -2.862 -7.515
CELL_PARAMETERS angstrom
-0.782 0.192 -7.151
6.563 -2.843 -0.794
1.484 -4.591 -3.906
! Uncorrected formation energy, meV per atom: 898
! Energy relative to the lowest polymorph listed for this composition, eV per atom: 0.0000
! Symmetry: I-42d

---

! SnIO2, optimized geometry, DFT PBE; values from VASP
&SYSTEM
  ibrav = 0, nat = 4, ntyp = 3
/
ATOMIC_SPECIES
I 126.90 I.upf
Sn 118.71 Sn.upf
O 16.00 O.upf
ATOMIC_POSITIONS angstrom
I 0.000 0.000 0.000
Sn 0.000 0.000 13.512
O 0.000 0.000 23.524
O 0.000 0.000 3.500
CELL_PARAMETERS angstrom
1.871 0.000 9.008
-0.935 1.620 9.008
-0.935 -1.620 9.008
! Uncorrected formation energy, meV per atom: -1002
! Energy relative to the lowest polymorph listed for this composition, eV per atom: 0.0000
! Symmetry: R-3m

---

! MnCd3I9, optimized geometry, DFT PBE; values from VASP
&SYSTEM
  ibrav = 0, nat = 26, ntyp = 3
/
ATOMIC_SPECIES
Mn 54.94 Mn.upf
Cd 112.41 Cd.upf
I 126.90 I.upf
ATOMIC_POSITIONS angstrom
Mn 2.760 10.277 9.562
Mn 3.906 9.302 1.409
Cd 8.110 15.026 7.470
Cd 0.576 10.123 5.191
Cd 12.860 10.133 5.758
Cd 5.215 5.895 3.869
Cd 6.164 12.863 3.085
Cd 6.024 7.757 7.670
I 3.468 6.583 1.740
I 11.047 11.217 3.861
I 8.194 12.886 1.302
I 7.727 9.761 7.050
I 6.163 8.761 0.056
I 4.604 12.227 9.670
I 4.580 8.401 10.147
I 5.283 10.101 3.563
I 8.486 12.470 10.799
I 8.605 17.703 6.287
I 10.481 13.537 7.714
I 2.527 11.169 6.922
I 3.767 6.921 6.081
I 10.527 16.502 11.105
I 6.209 13.720 5.850
I 6.665 5.010 8.321
I 7.257 16.687 2.410
I 7.901 6.845 4.218
CELL_PARAMETERS angstrom
-1.503 9.082 5.327
6.957 2.442 8.416
7.814 9.165 -2.802
! Uncorrected formation energy, meV per atom: -436
! Symmetry: Cc

---

! Sc2BiBr, optimized geometry, DFT PBE; values from VASP
&SYSTEM
  ibrav = 0, nat = 4, ntyp = 3
/
ATOMIC_SPECIES
Sc 44.96 Sc.upf
Bi 208.98 Bi.upf
Br 79.90 Br.upf
ATOMIC_POSITIONS angstrom
Sc 0.000 0.000 20.196
Sc 0.000 0.000 2.632
Bi 0.000 0.000 11.414
Br 0.000 0.000 0.000
CELL_PARAMETERS angstrom
2.673 0.000 7.610
-1.337 2.315 7.610
-1.337 -2.315 7.610
! Uncorrected formation energy, meV per atom: -640
! Energy relative to the lowest polymorph listed for this composition, eV per atom: 0.0000
! Symmetry: R-3m

---

! Ti7Re3, optimized geometry, DFT PBE; values from VASP
&SYSTEM
  ibrav = 0, nat = 20, ntyp = 2
/
ATOMIC_SPECIES
Ti 47.87 Ti.upf
Re 186.21 Re.upf
ATOMIC_POSITIONS angstrom
Ti -3.340 -3.418 -5.013
Ti -1.711 -5.109 0.058
Ti -3.078 -6.478 -4.618
Ti -2.754 -2.157 -7.780
Ti -4.189 -1.618 -2.640
Ti -1.974 -2.049 -0.336
Ti -2.298 -6.370 2.826
Ti -0.862 -6.909 -2.315
Ti 0.290 -0.530 -4.302
Ti 0.033 -3.956 -1.795
Ti 1.171 -4.383 -5.870
Ti -2.783 -7.689 0.030
Ti -2.526 -4.264 -2.477
Ti -3.664 -3.836 1.598
Re -4.410 -3.794 -0.834
Re -4.582 -6.085 0.843
Re -3.821 -6.371 -1.882
Re -0.642 -4.733 -4.121
Re -0.471 -2.442 -5.798
Re -1.232 -2.156 -3.072
CELL_PARAMETERS angstrom
-5.118 -0.615 -1.365
2.277 -0.856 -8.151
-0.514 -6.852 5.014
! Formation enthalpy at 0 K, eV/atom: -0.097
! Symmetry: P6_3/mmc

---

! PrGdOsPd, optimized geometry, DFT PBE; values from VASP
&SYSTEM
  ibrav = 0, nat = 4, ntyp = 4
/
ATOMIC_SPECIES
Pr 140.91 Pr.upf
Gd 157.25 Gd.upf
Os 190.23 Os.upf
Pd 106.42 Pd.upf
ATOMIC_POSITIONS angstrom
Pr -1.382 1.412 2.342
Gd -4.147 4.236 7.025
Os 0.000 0.000 0.000
Pd -2.764 2.824 4.683
CELL_PARAMETERS angstrom
-2.296 4.199 1.457
-3.814 -0.226 3.230
0.582 1.675 4.679
! Formation enthalpy at 0 K, eV/atom: -0.359
! Symmetry: F-43m